# 1
# Sn6PbAu3, relaxed, DFT GGA-PBE
# - theoretical density (kg/m³) = 9375
# - magnetization (Bohr magnetons per cell) = 0.000
data_Sn6PbAu3
_chemical_formula_sum 'Sn12 Pb2 Au6'
_symmetry_space_group_name_H-M 'P 1 21/m 1'
_symmetry_Int_Tables_number 11
_symmetry_space_group_name_Hall '-P 2yb'
_cell_length_a 10.605
_cell_length_b 4.461
_cell_length_c 11.511
_cell_angle_alpha 90.00
_cell_angle_beta 100.72
_cell_angle_gamma 90.00
loop_
_atom_site_label
_atom_site_type_symbol
_atom_site_fract_x
_atom_site_fract_y
_atom_site_fract_z
_atom_site_occupancy
Sn1 Sn 0.063 0.250 0.422 1
Sn2 Sn 0.077 0.250 0.933 1
Sn3 Sn 0.217 0.750 0.766 1
Sn4 Sn 0.227 0.750 0.259 1
Sn5 Sn 0.385 0.250 0.527 1
Sn6 Sn 0.397 0.750 0.052 1
Pb1 Pb 0.483 0.250 0.280 1
Au1 Au 0.062 0.250 0.178 1
Au2 Au 0.213 0.750 0.516 1
Au3 Au 0.331 0.250 0.898 1

=====

# 2
# AlCdReBi2, relaxed, DFT GGA-PBE
# - theoretical density (kg/m³) = 8375
# - magnetization (Bohr magnetons per cell) = 3.648
data_AlCdReBi2
_chemical_formula_sum 'Al1 Cd1 Re1 Bi2'
_symmetry_space_group_name_H-M 'P 4/m m m'
_symmetry_Int_Tables_number 123
_symmetry_space_group_name_Hall '-P 4 2'
_cell_length_a 5.454
_cell_length_b 5.454
_cell_length_c 4.956
_cell_angle_alpha 90.00
_cell_angle_beta 90.00
_cell_angle_gamma 90.00
loop_
_atom_site_label
_atom_site_type_symbol
_atom_site_fract_x
_atom_site_fract_y
_atom_site_fract_z
_atom_site_occupancy
Al1 Al 0.000 0.000 0.000 1
Cd1 Cd 0.000 0.000 0.500 1
Re1 Re 0.500 0.500 0.500 1
Bi1 Bi 0.000 0.500 0.000 1

=====

The calculation returns the following DFT total energy values, one per record and in order: -3.84; -3.50 eV per atom.
The calculation returns the following V values, one per record and in order: 26.75; 29.49 A^3/atom.